Entry from the Alexandria database: crystalline NaNd2 at its relaxed geometry (PBE).

Lattice parameters (Å, degrees): 8.7218 8.7218 8.7218 156.28 156.28 33.79
Last column: nearest neighbours and their distance in Å.
Sites, in units of the cell vectors:
1 Na 0.0000 0.0000 0.0000  4 Na 3.59, 8 Nd 3.85
2 Nd 0.3264 0.3264 0.0000  8 Nd 3.59-3.60, 4 Na 3.85
3 Nd 0.6736 0.6736 0.0000  8 Nd 3.59-3.60, 4 Na 3.85

Output
V = 107.26 Å³/f.u.
Crystal system = tetragonal
Formation energy = 0.118 eV per atom